a.
DFT (GGA-PBE) results for a relaxed structure of Mn2Pd6Au.

Results
Size of the total moment = 9.591 μB per formula unit

abc: 8.331 6.360 6.086
angles: 84.01 49.40 46.60
Positions (direct):
Mn 0.161 0.161 0.839
Mn 0.839 0.839 0.161
Pd 0.168 0.490 0.510
Pd 0.168 0.832 0.168
Pd 0.490 0.168 0.832
Pd 0.510 0.832 0.168
Pd 0.832 0.168 0.832
Pd 0.832 0.510 0.490
Au 0.500 0.500 0.500


b.
DFT (GGA-PBE) results for a relaxed structure of Mn2Pd6Au.

Results
Size of the total moment = 9.627 μB per formula unit

abc: 8.020 8.020 2.821
angles: 100.00 100.00 55.42
Positions (direct):
Mn 0.169 0.169 0.169
Mn 0.831 0.831 0.831
Pd 0.134 0.530 0.332
Pd 0.180 0.820 0.000
Pd 0.470 0.866 0.668
Pd 0.530 0.134 0.332
Pd 0.820 0.180 0.000
Pd 0.866 0.470 0.668
Au 0.500 0.500 0.500


Among the structures above, stability is greatest for a.